Density functional theory data (PBE) for a relaxed UCoNiRu crystal.

abc: 4.3707 4.3707 4.3707
angles: 60.00 60.00 60.00
Closest atoms and distances in Å follow each position.
Sites, in units of the cell vectors:
Co: 0.5000 0.5000 0.5000  4 Ni 2.68, 4 U 2.68
Ru: 0.0000 0.0000 0.0000  4 U 2.68, 4 Ni 2.68
U: 0.7500 0.7500 0.7500  4 Co 2.68, 4 Ru 2.68
Ni: 0.2500 0.2500 0.2500  4 Co 2.68, 4 Ru 2.68

## Properties
**Formation energy from the elements**: -0.1 eV per formula unit
**Energy relative to the lowest polymorph listed for this composition**: 308 meV/atom
**Symmetry**: No. 216

=====

Density functional theory data (PBE) for a relaxed Zn2TcC crystal.

abc: 7.1102 7.1102 5.4395
angles: 49.19 49.19 90.00
Closest atoms and distances in Å follow each position.
Sites, in units of the cell vectors:
Tc: 0.7500 0.2500 0.5000  2 C 2.08
Tc: 0.0000 0.0000 0.0000  2 C 2.08
Zn: 0.5359 0.1250 0.2500  2 C 2.18, 2 Zn 2.43
Zn: 0.8750 0.7859 0.7500  2 C 2.18, 2 Zn 2.43
Zn: 0.2141 0.6250 0.2500  2 C 2.18, 2 Zn 2.43
Zn: 0.3750 0.4641 0.7500  2 C 2.18, 2 Zn 2.43
C: 0.2500 0.7500 0.5000  2 Tc 2.08, 4 Zn 2.18
C: 0.5000 0.5000 0.0000  2 Tc 2.08, 4 Zn 2.18

## Properties
**Formation energy from the elements**: 2.7 eV per formula unit
**Symmetry**: No. 122